(1)
Here is a relaxed structure of Li2TiFeO4 from Alexandria via LeMat-Bulk. Energies are from PBEsol. Values from VASP.

Calculated values
The polymorph energy (0 for the lowest one) is 14 meV/atom. As for the space group: C2/c (15).

Structure (Quantum ESPRESSO input):
```
&SYSTEM
  ibrav = 0, nat = 32, ntyp = 4
/
ATOMIC_SPECIES
Li 6.94 Li.upf
Ti 47.87 Ti.upf
Fe 55.84 Fe.upf
O 16.00 O.upf
ATOMIC_POSITIONS angstrom
Li 1.4445 2.4472 0.0378
Li 4.3336 0.8831 4.7146
Li 7.3384 4.1124 2.4139
Li 4.2179 2.5483 7.0907
Li 0.0000 0.0000 0.0000
Li 5.7782 3.3303 4.7523
Li 2.8891 0.0000 0.0000
Li 2.8891 3.3303 4.7523
Ti 5.5815 1.7997 2.3165
Ti 5.9748 4.8610 7.1882
Ti 2.6924 1.5307 2.4358
Ti 8.8639 5.1300 7.0688
Fe 1.4445 0.8831 4.7146
Fe 7.1941 2.5483 7.0907
Fe 4.3336 2.4472 0.0378
Fe 4.3622 4.1124 2.4139
O 3.0226 3.2203 1.2942
O 5.8681 1.7670 5.8468
O 5.6882 3.3312 1.1700
O 2.7555 1.6561 5.9710
O 5.8681 3.3295 8.3346
O 8.8008 5.0045 3.5337
O 8.5337 3.4404 8.2105
O 5.6882 4.8936 3.6579
O 1.3307 0.8592 1.2483
O 7.3366 4.1895 6.0006
O 7.3100 5.7745 8.2475
O 7.1354 2.4442 3.4951
O 4.2464 0.8861 1.2572
O 4.4209 4.2165 6.0095
O 10.2257 5.8015 8.2564
O 4.2197 2.4712 3.5041
CELL_PARAMETERS angstrom
5.7782 0.0000 0.0000
2.8891 4.8945 0.0755
2.8891 1.7662 9.4291
```

(2)
Here is a relaxed structure of NdScSb from Alexandria via LeMat-Bulk. Energies are from PBEsol. Values from VASP.

Calculated values
As for the space group: I4/mmm (139).

Structure (Quantum ESPRESSO input):
```
&SYSTEM
  ibrav = 0, nat = 6, ntyp = 3
/
ATOMIC_SPECIES
Sc 44.96 Sc.upf
Sb 121.76 Sb.upf
Nd 144.24 Nd.upf
ATOMIC_POSITIONS angstrom
Sc 0.6191 -1.8980 -0.9269
Sc -0.0874 0.9420 -1.9874
Sb -5.8651 -1.6558 -0.5269
Sb -1.4517 -1.5159 -3.0925
Nd -2.7560 -0.7781 -0.2476
Nd -4.5608 -2.3937 -3.3718
CELL_PARAMETERS angstrom
-0.1748 1.8841 -3.9748
1.2382 -3.7960 -1.8538
-8.3802 -1.2598 2.2092
```

Record-wise ΔE_f (raw) values, in eV per atom: -2.179, -0.903
Record-wise total moment values, in μB per formula unit: 0.051, 0.380